No. 1
Compound: NdPaPt
Source: the Open Quantum Materials Database
Functional: PBE
Structure: relaxed

```
NdPaPt
1.0
-3.589 -3.368 -0.191
-0.530 -3.246 3.667
-3.856 0.334 3.047
Nd Pa Pt
1 1 1
Direct
0.250 0.250 0.250 Nd
0.750 0.750 0.750 Pa
0.000 0.000 0.000 Pt
```

The formation energy is -0.272 eV/atom. The space group is F-43m. For the energy above the most stable polymorph in this dataset, the calculation gives 0.00 eV/f.u. The calculated total energy is -21.13 eV per formula unit.

No. 2
Compound: NdPuPa
Source: the Open Quantum Materials Database
Functional: PBE
Structure: relaxed

```
NdPuPa
1.0
0.000 3.618 3.618
3.618 0.000 3.618
3.618 3.618 0.000
Nd Pa Pu
1 1 1
Direct
0.000 0.000 0.000 Nd
0.750 0.750 0.750 Pa
0.250 0.250 0.250 Pu
```

The formation energy is 1.093 eV/atom. The space group is F-43m. The calculated total energy is -25.11 eV per formula unit.